[1]
Material: BaCa2P6N12
Method: DFT, PBEsol
State: relaxed

Cell: 9.9166 9.9166 9.9166 Å, 90.00 90.00 90.00°
Last column: nearest neighbours and their distance in Å.
Atoms (fractional coordinates):
N 0.3374 0.2718 0.1229  2 P 1.64-1.65
P 0.6912 0.3486 0.3791  4 N 1.63-1.65
N 0.9904 0.9118 0.7156  2 P 1.63-1.65
N 0.5882 0.2156 0.9904  2 P 1.63-1.65
P 0.1209 0.1912 0.3486  4 N 1.63-1.65
N 0.6229 0.1626 0.7282  2 P 1.64-1.65
Ca 0.6246 0.8754 0.1246  6 N 2.56-2.73
Ba 0.0000 0.5000 0.5000  12 N 2.95-3.03
N 0.2156 0.9904 0.5882  2 P 1.63-1.65
N 0.8771 0.8374 0.2282  2 P 1.64-1.65
N 0.3771 0.8374 0.2718  2 P 1.64-1.65
N 0.7718 0.1229 0.1626  2 P 1.64-1.65
P 0.1912 0.1514 0.6209  4 N 1.63-1.65
P 0.1514 0.8791 0.6912  4 N 1.63-1.65
N 0.1229 0.3374 0.2718  2 P 1.64-1.65
P 0.6514 0.8791 0.8088  4 N 1.63-1.65
N 0.4904 0.5882 0.2844  2 P 1.63-1.65
N 0.2282 0.6229 0.3374  2 P 1.64-1.65
N 0.1626 0.7718 0.1229  2 P 1.64-1.65
P 0.3088 0.8486 0.1209  4 N 1.63-1.65
Ba 0.5000 0.0000 0.5000  12 N 2.95-3.03
N 0.9904 0.5882 0.2156  2 P 1.63-1.65
N 0.0096 0.0882 0.2844  2 P 1.63-1.65
P 0.3791 0.8088 0.8486  4 N 1.63-1.65
N 0.5882 0.2844 0.4904  2 P 1.63-1.65
N 0.3374 0.2282 0.6229  2 P 1.64-1.65
Ca 0.3754 0.1246 0.8754  6 N 2.56-2.73
N 0.7156 0.9904 0.9118  2 P 1.63-1.65
N 0.5096 0.4118 0.7156  2 P 1.63-1.65
N 0.0096 0.4118 0.7844  2 P 1.63-1.65
N 0.6229 0.3374 0.2282  2 P 1.64-1.65
N 0.1626 0.7282 0.6229  2 P 1.64-1.65
N 0.0882 0.2844 0.0096  2 P 1.63-1.65
P 0.8791 0.8088 0.6514  4 N 1.63-1.65
N 0.7844 0.0096 0.4118  2 P 1.63-1.65
N 0.3771 0.6626 0.7718  2 P 1.64-1.65
P 0.1209 0.3088 0.8486  4 N 1.63-1.65
P 0.8088 0.6514 0.8791  4 N 1.63-1.65
P 0.3486 0.1209 0.1912  4 N 1.63-1.65
Ca 0.8754 0.3754 0.1246  6 N 2.56-2.73
Ca 0.1246 0.8754 0.3754  6 N 2.56-2.73
N 0.9118 0.7844 0.4904  2 P 1.63-1.65
N 0.8374 0.2718 0.3771  2 P 1.64-1.65
N 0.8374 0.2282 0.8771  2 P 1.64-1.65
P 0.1514 0.6209 0.1912  4 N 1.63-1.65
N 0.6626 0.7282 0.8771  2 P 1.64-1.65
P 0.6912 0.1514 0.8791  4 N 1.63-1.65
N 0.8771 0.6626 0.7282  2 P 1.64-1.65
N 0.7282 0.6229 0.1626  2 P 1.64-1.65
N 0.7718 0.3771 0.6626  2 P 1.64-1.65
P 0.1912 0.3486 0.1209  4 N 1.63-1.65
N 0.2282 0.8771 0.8374  2 P 1.64-1.65
N 0.4118 0.7156 0.5096  2 P 1.63-1.65
N 0.9118 0.7156 0.9904  2 P 1.63-1.65
P 0.8486 0.3791 0.8088  4 N 1.63-1.65
Ba 0.0000 0.0000 0.0000  12 N 2.95-3.03
Ca 0.3754 0.3754 0.3754  6 N 2.56-2.73
N 0.0882 0.2156 0.5096  2 P 1.63-1.65
N 0.1229 0.1626 0.7718  2 P 1.64-1.65
Ca 0.6246 0.6246 0.6246  6 N 2.56-2.73
Ba 0.5000 0.5000 0.0000  12 N 2.95-3.03
P 0.6209 0.3088 0.6514  4 N 1.63-1.65
P 0.3791 0.6912 0.3486  4 N 1.63-1.65
N 0.5096 0.0882 0.2156  2 P 1.63-1.65
N 0.4118 0.7844 0.0096  2 P 1.63-1.65
P 0.8486 0.1209 0.3088  4 N 1.63-1.65
P 0.3486 0.3791 0.6912  4 N 1.63-1.65
P 0.8088 0.8486 0.3791  4 N 1.63-1.65
N 0.7156 0.5096 0.4118  2 P 1.63-1.65
Ca 0.1246 0.6246 0.8754  6 N 2.56-2.73
N 0.2156 0.5096 0.0882  2 P 1.63-1.65
N 0.6626 0.7718 0.3771  2 P 1.64-1.65
N 0.2718 0.1229 0.3374  2 P 1.64-1.65
N 0.2844 0.4904 0.5882  2 P 1.63-1.65
P 0.6209 0.1912 0.1514  4 N 1.63-1.65
P 0.6514 0.6209 0.3088  4 N 1.63-1.65
N 0.4904 0.9118 0.7844  2 P 1.63-1.65
P 0.3088 0.6514 0.6209  4 N 1.63-1.65
N 0.2844 0.0096 0.0882  2 P 1.63-1.65
Ca 0.8754 0.1246 0.6246  6 N 2.56-2.73
N 0.7282 0.8771 0.6626  2 P 1.64-1.65
N 0.7844 0.4904 0.9118  2 P 1.63-1.65
P 0.8791 0.6912 0.1514  4 N 1.63-1.65
N 0.2718 0.3771 0.8374  2 P 1.64-1.65

symmetry = Pa-3 (205)
formation energy without anion corrections = -1.026 eV per atom



[2]
Material: Ta4CrCl
Method: DFT, PBEsol
State: relaxed

Cell: 5.4230 5.4230 5.4230 Å, 60.00 60.00 60.00°
Last column: nearest neighbours and their distance in Å.
Atoms (fractional coordinates):
Cl 0.7500 0.7500 0.7500  12 Ta 3.18, 4 Cr 3.32
Ta 0.3733 0.3733 0.3733  6 Ta 2.68-2.75
Ta 0.3733 0.3733 0.8800  6 Ta 2.68-2.75
Ta 0.8800 0.3733 0.3733  6 Ta 2.68-2.75
Ta 0.3733 0.8800 0.3733  6 Ta 2.68-2.75
Cr 0.0000 0.0000 0.0000  12 Ta 3.18, 4 Cl 3.32

symmetry = F-43m (216)
formation energy without anion corrections = 0.996 eV per atom



[3]
Material: Sc2CuPb
Method: DFT, PBEsol
State: relaxed

Cell: 3.3749 3.3749 7.0025 Å, 90.00 90.00 90.00°
Last column: nearest neighbours and their distance in Å.
Atoms (fractional coordinates):
Pb 0.5000 0.5000 0.5000  8 Sc 3.11, 4 Pb 3.37
Cu 0.5000 0.5000 0.0000  8 Sc 2.82
Sc 0.0000 0.0000 0.2158  4 Cu 2.82, 1 Sc 3.02, 4 Pb 3.11
Sc 0.0000 0.0000 0.7842  4 Cu 2.82, 1 Sc 3.02, 4 Pb 3.11

symmetry = P4/mmm (123)
formation energy = -0.31 eV/atom



[4]
Material: SrPWCl2
Method: DFT, PBEsol
State: relaxed

Cell: 5.1928 5.1928 6.1170 Å, 90.00 90.00 90.00°
Last column: nearest neighbours and their distance in Å.
Atoms (fractional coordinates):
Cl 0.0000 0.5000 0.0000  2 Sr 2.60
Cl 0.5000 0.0000 0.0000  2 Sr 2.60
W 0.5000 0.5000 0.5000  4 P 3.67, 8 Cl 4.01
P 0.0000 0.0000 0.5000  2 Sr 3.06
Sr 0.0000 0.0000 0.0000  4 Cl 2.60

symmetry = P4/mmm (123)
formation energy without anion corrections = 0.865 eV per atom